No. 1
Here is crystalline SmEuPtAu at its relaxed geometry from the Alexandria database. Energies are from PBE-GGA.

a b c (Å): 5.135 5.135 5.135
angles (deg): 60.00 60.00 60.00
Fractional coordinates of all 4 atoms:
Sm1 0.000 0.000 0.000
Eu1 0.500 0.500 0.500
Pt1 0.250 0.250 0.250
Au1 0.750 0.750 0.750

Properties
Its volume is 95.7 Å³/f.u. As for the electronic total energy: -27.85 eV for the cell shown. Its formation energy from the elements is -0.8843 eV per atom.

No. 2
Here is crystalline U3Ag3PdS8 at its relaxed geometry from the Alexandria database. Energies are from PBE-GGA.

a b c (Å): 7.686 7.686 7.704
angles (deg): 119.66 119.66 61.60
Fractional coordinates of all 15 atoms:
U1 0.000 0.000 0.000
U2 0.000 0.500 0.500
U3 0.500 0.000 0.500
Ag1 0.000 0.500 0.000
Ag2 0.500 0.000 0.000
Ag3 0.500 0.500 0.500
Pd1 0.500 0.500 0.000
S1 0.236 0.756 0.750
S2 0.244 0.764 0.250
S3 0.251 0.251 0.256
S4 0.267 0.267 0.756
S5 0.733 0.733 0.244
S6 0.749 0.749 0.744
S7 0.756 0.236 0.750
S8 0.764 0.244 0.250

Properties
Its volume is 327.3 Å³/f.u. As for the electronic total energy: -91.92 eV for the cell shown. The value obtained for the uncorrected formation energy is -0.753 eV/atom.